Entry 1:
First-principles (GGA-PBE) data for crystalline Nd2SmSb3 at its relaxed geometry, as listed in the Alexandria database.

Results
Raw formation energy, eV per atom: -1.18
Total energy, hartree per atom: -0.20659

POSCAR file:
```
Nd2SmSb3
1.0
-1.369 -0.766 -4.229
-1.773 -5.893 1.642
-4.588 5.623 2.872
Sm Nd Sb
1 2 3
direct
0.000 0.500 0.000 Sm
0.333 0.833 0.666 Nd
0.667 0.167 0.334 Nd
0.335 0.335 0.670 Sb
0.665 0.665 0.330 Sb
0.000 0.000 0.000 Sb
```

Entry 2:
First-principles (GGA-PBE) data for crystalline CeHoEr2Tl4 at its relaxed geometry, as listed in the Alexandria database.

Results
Total energy, hartree per atom: -0.14434
ΔH_f (0 K), meV/atom: -290

POSCAR file:
```
CeHoEr2Tl4
1.0
-1.634 -5.011 -1.045
-0.900 -3.429 4.038
-9.271 -0.147 1.383
Er Tl Ho Ce
2 4 1 1
direct
0.749 0.749 0.752 Er
0.251 0.251 0.248 Er
0.877 0.877 0.370 Tl
0.626 0.626 0.121 Tl
0.374 0.374 0.879 Tl
0.123 0.123 0.630 Tl
0.000 0.000 0.000 Ho
0.500 0.500 0.500 Ce
```

Entry 3:
First-principles (GGA-PBE) data for crystalline BeAg2Pb at its relaxed geometry, as listed in the Alexandria database.

Results
Offset from the most stable computed form, meV/atom: 125
Total energy, hartree per atom: -0.10829
ΔH_f (0 K), meV/atom: 337

POSCAR file:
```
BeAg2Pb
1.0
3.875 0.000 0.000
0.000 3.480 0.036
0.000 1.779 5.809
Be Ag Pb
1 2 1
direct
0.500 0.250 0.250 Be
0.000 0.409 0.446 Ag
0.000 0.091 0.054 Ag
0.500 0.750 0.750 Pb
```